Entry from the Alexandria database: a relaxed structure of Co2ReSe (PBE-GGA).

```
4
Lattice="-0.4275 -2.2234 1.8581 3.8799 0.6744 1.6996 -1.6734 2.6392 2.7730" Properties=species:S:1:pos:R:3 pbc="T T T"
Se 1.1032 1.6568 2.2363
Re -1.0505 0.2079 2.3156
Co 1.7262 -0.7745 1.7789
Co 0.0000 0.0000 0.0000
```

Results
total moment: 1.984 μB per formula unit
DOS(E_F): 4.891 states/eV/cell
raw formation energy: 0.4962 eV/atom